Record 1
Computed, not measured: crystalline Mg2ScRu2 at its relaxed geometry at the PBE level of DFT.

Values from the calculation:
Mass density = 5.636 Mg/m³
Spin magnetization = 0.0 μB/cell
Formation enthalpy at 0 K = -0.01 eV/atom

Cell: 7.014 7.014 3.541 Å, 90.00 90.00 90.00°
Sites, in units of the cell vectors:
Mg 0.152 0.348 0.000
Mg 0.348 0.848 0.000
Mg 0.652 0.152 0.000
Mg 0.848 0.652 0.000
Sc 0.000 0.000 0.500
Sc 0.500 0.500 0.500
Ru 0.145 0.645 0.500
Ru 0.355 0.145 0.500
Ru 0.645 0.855 0.500
Ru 0.855 0.355 0.500

---

Record 2
Computed, not measured: crystalline CdTeP2Cl at its relaxed geometry at the PBE level of DFT.

Values from the calculation:
Mass density = 4.076 Mg/m³
Spin magnetization = 0.0 μB/cell
Uncorrected formation energy = 0.753 eV per atom

Cell: 5.131 5.131 5.221 Å, 90.00 90.00 90.00°
Sites, in units of the cell vectors:
Cd 0.000 0.000 0.000
Te 0.500 0.500 0.500
P 0.000 0.500 0.500
P 0.500 0.000 0.500
Cl 0.500 0.500 0.000

---

Record 3
Computed, not measured: crystalline Eu2SnI at its relaxed geometry at the PBE level of DFT.

Values from the calculation:
Mass density = 6.237 Mg/m³
Spin magnetization = 14.2 μB/cell
Uncorrected formation energy = -0.909 eV per atom
ΔE to the lowest computed polymorph = 6 meV per atom

Cell: 8.668 8.668 8.668 Å, 30.24 30.24 30.24°
Sites, in units of the cell vectors:
Eu 0.244 0.244 0.244
Eu 0.756 0.756 0.756
Sn 0.500 0.500 0.500
I 0.000 0.000 0.000